{
  "formula": "CsGa3Ge",
  "functional": "PBE",
  "state": "relaxed",
  "lattice": [[-0.355, -0.373, -5.376], [0.467, -5.370, 0.341], [-5.369, -0.442, 0.385]],
  "species": ["Ge", "Ga", "Ga", "Cs", "Ga"],
  "fractional_positions": [[0.000, 0.000, 0.000], [0.000, 0.000, 0.500], [0.000, 0.500, 0.000], [0.500, 0.500, 0.500], [0.500, 0.000, 0.000]],
  "de_polymorph_mev_per_atom": 357,
  "formation_enthalpy_0k_ev_per_atom": 0.2821,
  "vol_a3_per_cell": 157.6
}

---

{
  "formula": "Nd3Ga4Si2",
  "functional": "PBE",
  "state": "relaxed",
  "lattice": [[4.193, 0.000, 0.000], [-2.096, 5.544, -0.886], [0.000, -0.118, 8.425]],
  "species": ["Ga", "Nd", "Si", "Nd", "Nd", "Si", "Ga", "Ga", "Ga"],
  "fractional_positions": [[0.275, 0.550, 0.941], [0.668, 0.335, 0.664], [0.389, 0.778, 0.723], [0.332, 0.665, 0.336], [0.000, 0.000, 0.000], [0.611, 0.222, 0.277], [0.053, 0.107, 0.385], [0.725, 0.450, 0.059], [0.947, 0.893, 0.615]],
  "vol_a3_per_cell": 195.4,
  "formation_energy_uncorrected_ev_per_atom": -0.71
}

---

{
  "formula": "Ti12Sb5C2",
  "functional": "PBE",
  "state": "relaxed",
  "lattice": [[-2.077, -6.144, 0.181], [7.277, 1.072, 3.609], [-5.661, 2.072, 5.373]],
  "species": ["Ti", "Sb", "Sb", "Sb", "Ti", "Ti", "Ti", "Ti", "Ti", "Sb", "C", "Sb", "Ti", "Ti", "Ti", "Ti", "Ti", "Ti", "C"],
  "fractional_positions": [[0.854, 0.268, 0.536], [0.719, 0.438, 0.345], [0.000, 0.000, 0.500], [0.281, 0.562, 0.655], [0.995, 0.990, 0.833], [0.005, 0.010, 0.167], [0.919, 0.287, 0.077], [0.081, 0.713, 0.923], [0.631, 0.713, 0.923], [0.315, 0.629, 0.154], [0.261, 0.000, 0.000], [0.685, 0.371, 0.846], [0.512, 0.024, 0.190], [0.413, 0.268, 0.536], [0.369, 0.287, 0.077], [0.587, 0.732, 0.464], [0.146, 0.732, 0.464], [0.488, 0.976, 0.810], [0.739, 0.000, 0.000]],
  "vol_a3_per_cell": 373.1,
  "formation_energy_uncorrected_ev_per_atom": -0.30
}

---

{
  "formula": "MgCrOs2",
  "functional": "PBE",
  "state": "relaxed",
  "lattice": [[-1.351, -2.334, 3.036], [-0.518, -2.012, -1.776], [4.524, -2.898, -0.214]],
  "species": ["Os", "Cr", "Mg", "Os"],
  "fractional_positions": [[0.000, 0.085, 0.017], [0.500, 0.250, 0.250], [0.500, 0.750, 0.750], [0.000, 0.415, 0.483]],
  "formation_enthalpy_0k_ev_per_atom": 0.2721,
  "vol_a3_per_cell": 57.6
}

---

{
  "formula": "NdErMgZn",
  "functional": "PBE",
  "state": "relaxed",
  "lattice": [[3.624, 0.000, 0.000], [0.000, 3.624, 0.000], [0.000, 0.000, 7.864]],
  "species": ["Zn", "Mg", "Nd", "Er"],
  "fractional_positions": [[0.500, 0.500, 0.126], [0.500, 0.500, 0.592], [0.000, 0.000, 0.881], [0.000, 0.000, 0.329]],
  "de_polymorph_mev_per_atom": 0,
  "formation_enthalpy_0k_ev_per_atom": -0.2055,
  "vol_a3_per_cell": 103.3
}

---

{
  "formula": "NbTeI2Br",
  "functional": "PBE",
  "state": "relaxed",
  "lattice": [[-4.166, -0.244, -3.637], [3.419, -2.180, -3.769], [-1.241, -4.982, 1.756]],
  "species": ["Te", "I", "Br", "I", "Nb"],
  "fractional_positions": [[0.000, 0.000, 0.500], [0.000, 0.500, 0.000], [0.500, 0.500, 0.500], [0.500, 0.000, 0.000], [0.000, 0.000, 0.000]],
  "de_polymorph_mev_per_atom": 0,
  "vol_a3_per_cell": 166.3,
  "formation_energy_uncorrected_ev_per_atom": 0.00
}